(1)
## Re2Se (GGA-PBEsol)

Data for a geometry-optimized Re2Se structure.

Computed properties:
As for the raw total energy: -29.0 eV for the cell shown. For the magnetization, the calculation gives 0.00 μB per formula unit. Its excess energy over the best structure of this formula in the dataset is 210 meV per atom.

Structure (CIF):
```
data_Re2Se
_chemical_formula_sum 'Re2 Se1'
_cell_length_a 4.1978
_cell_length_b 4.1978
_cell_length_c 2.9209
_cell_angle_alpha 90.00
_cell_angle_beta 90.00
_cell_angle_gamma 120.00
_space_group_name_H-M_alt 'P -3 m 1'
_space_group_IT_number 164
_space_group_name_Hall '-P 3 2"'
loop_
_atom_site_label
_atom_site_fract_x
_atom_site_fract_y
_atom_site_fract_z
Re1 0.3333 0.6667 0.2542
Se1 0.0000 0.0000 0.5000
```



(2)
## CaGa2Ni (GGA-PBEsol)

Data for a geometry-optimized CaGa2Ni structure.

Computed properties:
As for the raw total energy: -68.4 eV for the cell shown. The energy relative to the elements is -0.534 eV/atom. For the magnetization, the calculation gives 0.00 μB per formula unit.

Structure (CIF):
```
data_CaGa2Ni
_chemical_formula_sum 'Ca4 Ga8 Ni4'
_cell_length_a 3.998
_cell_length_b 10.135
_cell_length_c 6.888
_cell_angle_alpha 90.00
_cell_angle_beta 90.00
_cell_angle_gamma 90.00
_space_group_name_H-M_alt 'C m c m'
_space_group_IT_number 63
_space_group_name_Hall '-C 2c 2'
loop_
_atom_site_label
_atom_site_fract_x
_atom_site_fract_y
_atom_site_fract_z
Ca1 0.000 0.057 0.250
Ga1 0.000 0.339 0.056
Ni1 0.000 0.218 0.750
```



(3)
## GaTe2PtN (GGA-PBEsol)

Data for a geometry-optimized GaTe2PtN structure.

Computed properties:
As for the raw total energy: -24.2 eV for the cell shown. For the magnetization, the calculation gives 0.00 μB per formula unit.

Structure (CIF):
```
data_GaTe2PtN
_chemical_formula_sum 'Ga1 Te2 Pt1 N1'
_cell_length_a 5.620
_cell_length_b 5.620
_cell_length_c 3.611
_cell_angle_alpha 90.00
_cell_angle_beta 90.00
_cell_angle_gamma 90.00
_space_group_name_H-M_alt 'P 4/m m m'
_space_group_IT_number 123
_space_group_name_Hall '-P 4 2'
loop_
_atom_site_label
_atom_site_fract_x
_atom_site_fract_y
_atom_site_fract_z
Ga1 0.000 0.000 0.000
Te1 0.000 0.500 0.500
Pt1 0.500 0.500 0.500
N1 0.500 0.500 0.000
```



(4)
## Cs2ScTlI6 (GGA-PBEsol)

Data for a geometry-optimized Cs2ScTlI6 structure.

Computed properties:
As for the raw total energy: -135.8 eV for the cell shown. For the magnetization, the calculation gives 0.00 μB per formula unit.

Structure (CIF):
```
data_Cs2ScTlI6
_chemical_formula_sum 'Cs8 Sc4 Tl4 I24'
_cell_length_a 12.189
_cell_length_b 12.189
_cell_length_c 12.189
_cell_angle_alpha 90.00
_cell_angle_beta 90.00
_cell_angle_gamma 90.00
_space_group_name_H-M_alt 'F m -3 m'
_space_group_IT_number 225
_space_group_name_Hall '-F 4 2 3'
loop_
_atom_site_label
_atom_site_fract_x
_atom_site_fract_y
_atom_site_fract_z
Cs1 0.250 0.250 0.250
Sc1 0.000 0.000 0.000
Tl1 0.000 0.000 0.500
I1 0.000 0.000 0.234
```